No. 1
{
  "formula": "KMn2Pt",
  "functional": "GGA-PBE",
  "state": "relaxed",
  "lattice": [[5.9934, 0.0000, 0.0000], [0.0000, 9.7144, 0.0000], [-1.2050, 0.0000, 2.5759]],
  "species": ["K", "K", "Mn", "Mn", "Mn", "Mn", "Pt", "Pt"],
  "frac_coords": [[0.0000, 0.0000, 0.0000], [0.5000, 0.5000, 0.0000], [0.2500, 0.2500, 0.5000], [0.2500, 0.7500, 0.5000], [0.7500, 0.2500, 0.5000], [0.7500, 0.7500, 0.5000], [0.0000, 0.5000, 0.0000], [0.5000, 0.0000, 0.0000]],
  "polymorph_energy_mev_per_atom": 340,
  "final_energy_ev_per_atom": -5.68,
  "vol_a3_per_atom": 18.75
}

---

No. 2
{
  "formula": "MnSiIrRh",
  "functional": "GGA-PBE",
  "state": "relaxed",
  "lattice": [[6.0094, 0.0000, 0.0000], [0.0000, 6.0094, 0.0000], [0.0000, 0.0000, 6.0094]],
  "species": ["Mn", "Mn", "Mn", "Mn", "Si", "Si", "Si", "Si", "Ir", "Ir", "Ir", "Ir", "Rh", "Rh", "Rh", "Rh"],
  "frac_coords": [[0.0000, 0.0000, 0.0000], [0.0000, 0.5000, 0.5000], [0.5000, 0.0000, 0.5000], [0.5000, 0.5000, 0.0000], [0.0000, 0.0000, 0.5000], [0.0000, 0.5000, 0.0000], [0.5000, 0.0000, 0.0000], [0.5000, 0.5000, 0.5000], [0.2500, 0.2500, 0.7500], [0.2500, 0.7500, 0.2500], [0.7500, 0.2500, 0.2500], [0.7500, 0.7500, 0.7500], [0.2500, 0.2500, 0.2500], [0.2500, 0.7500, 0.7500], [0.7500, 0.2500, 0.7500], [0.7500, 0.7500, 0.2500]],
  "final_energy_ev_per_atom": -8.18,
  "vol_a3_per_atom": 13.56,
  "e_form_raw_ev_per_atom": -0.478
}

---

No. 3
{
  "formula": "Li5As",
  "functional": "GGA-PBE",
  "state": "relaxed",
  "lattice": [[4.2678, 0.0000, 0.0000], [0.0000, 10.7159, 0.0000], [0.0000, 0.0000, 4.2431]],
  "species": ["Li", "Li", "Li", "Li", "Li", "Li", "Li", "Li", "Li", "Li", "As", "As"],
  "frac_coords": [[0.0000, 0.0000, 0.0000], [0.0000, 0.1553, 0.5000], [0.0000, 0.3543, 0.0000], [0.0000, 0.6457, 0.0000], [0.0000, 0.8447, 0.5000], [0.5000, 0.1457, 0.0000], [0.5000, 0.3447, 0.5000], [0.5000, 0.5000, 0.0000], [0.5000, 0.6553, 0.5000], [0.5000, 0.8543, 0.0000], [0.0000, 0.5000, 0.5000], [0.5000, 0.0000, 0.5000]],
  "final_energy_ev_per_atom": -2.77,
  "vol_a3_per_atom": 16.17
}